# 1
DFT (PBE) results for an optimized crystal structure of BaU2RhS4.

abc: 6.9227 6.9227 13.6198
angles: 90.00 90.00 146.11
With the nearest neighbours (Å) after each atom.
Positions (direct):
Ba 0.1090 0.8910 0.7500  6 S 3.08-3.26
Ba 0.8910 0.1090 0.2500  6 S 3.08-3.26
U 0.3680 0.6320 0.5634  6 S 2.69-2.81
U 0.3680 0.6320 0.9366  6 S 2.69-2.81
U 0.6320 0.3680 0.0634  6 S 2.69-2.81
U 0.6320 0.3680 0.4366  6 S 2.69-2.81
Rh 0.1618 0.8382 0.2500  4 S 2.37-2.38
Rh 0.8382 0.1618 0.7500  4 S 2.37-2.38
S 0.0000 0.0000 0.0000  4 U 2.81
S 0.0000 0.0000 0.5000  4 U 2.81
S 0.2647 0.7353 0.1075  1 Rh 2.37
S 0.2647 0.7353 0.3925  1 Rh 2.37
S 0.4338 0.5662 0.7500  2 Rh 2.38
S 0.5662 0.4338 0.2500  2 Rh 2.38
S 0.7353 0.2647 0.6075  1 Rh 2.37
S 0.7353 0.2647 0.8925  1 Rh 2.37

Output
E_form (uncorrected): -1.40 eV/atom
DOS(E_F): 26.75 states/eV per cell

# 2
DFT (PBE) results for an optimized crystal structure of Ca2ZnF.

abc: 6.3630 6.3630 6.3630
angles: 113.59 113.59 101.51
With the nearest neighbours (Å) after each atom.
Positions (direct):
Ca 0.0475 0.6250 0.9225  2 F 2.34
Ca 0.3750 0.2975 0.4225  2 F 2.34
Ca 0.7025 0.1250 0.0775  2 F 2.34
Ca 0.8750 0.9525 0.5775  2 F 2.34
Zn 0.2500 0.7500 0.5000  4 Ca 3.04
Zn 0.5000 0.5000 0.0000  4 Ca 3.04
F 0.0000 0.0000 0.0000  4 Ca 2.34
F 0.7500 0.2500 0.5000  4 Ca 2.34

Output
E_form (uncorrected): -1.39 eV/atom
DOS(E_F): 3.69 states/eV per cell

# 3
DFT (PBE) results for an optimized crystal structure of Zn2CoMo.

abc: 5.1632 5.1632 5.1632
angles: 149.21 128.20 61.49
With the nearest neighbours (Å) after each atom.
Positions (direct):
Zn 0.0000 0.0000 0.0000  2 Co 2.51, 4 Mo 2.65, 4 Zn 2.67-2.74
Zn 0.7423 0.2423 0.5000  4 Co 2.64, 4 Zn 2.67-2.74, 2 Mo 2.77
Co 0.2365 0.7365 0.5000  2 Mo 2.49, 6 Zn 2.51-2.64, 2 Co 2.74
Mo 0.4707 0.4707 0.0000  2 Co 2.49, 6 Zn 2.65-2.77, 2 Mo 2.74

Output
ΔH_f (0 K): 0.18 eV/atom
DOS(E_F): 2.70 states/eV per cell

Number 1: DFT total energy -7.447 eV per atom, M_tot 4.90 μB per formula unit. Number 2: DFT total energy -3.175 eV per atom, M_tot 0.00 μB per formula unit. Number 3: DFT total energy -4.942 eV per atom, M_tot 0.00 μB per formula unit.